The following is a PBE calculation of an optimized crystal structure of Rb2Rh2S3, from the Alexandria database.

Properties
Magnetization in μB/cell: 0.00
SG: C2/m
Energy relative to the elements, uncorrected in eV per atom: -0.629
E in eV per cell: -33.4
DOS at the Fermi energy in states/eV per atom: 0.5267

```
Rb2Rh2S3
1.0
-0.2957 -3.8798 1.4124
5.8614 -1.8140 2.3100
-0.0949 0.4359 7.2437
Rb Rh S
2 2 3
direct
0.5670 0.2066 0.6594 Rb
0.4330 0.7934 0.3406 Rb
0.7893 0.3499 0.0716 Rh
0.2107 0.6501 0.9284 Rh
0.0000 0.0000 0.0000 S
0.7951 0.6349 0.7749 S
0.2049 0.3651 0.2251 S
```